DFT (GGA-PBE) results for Y3BCl after structural relaxation.

Summary:
For the density of states at the Fermi level, the calculation gives 5.49 states/eV/cell. The value obtained for the energy above the most stable polymorph in this dataset is 0 meV per atom. As for the space-group type: Pm-3m, No. 221. The value obtained for the uncorrected formation energy is -0.173 eV per atom.

a = 5.0959 Å, b = 5.0959 Å, c = 5.0959 Å
α = 90.00°, β = 90.00°, γ = 90.00°
Fractional positions:
1 Y 0.0000 0.0000 0.5000
2 Y 0.0000 0.5000 0.0000
3 Y 0.5000 0.0000 0.0000
4 B 0.0000 0.0000 0.0000
5 Cl 0.5000 0.5000 0.5000

***

DFT (GGA-PBE) results for Y7BCl12 after structural relaxation.

Summary:
For the density of states at the Fermi level, the calculation gives 11.47 states/eV/cell. As for the space-group type: R-3, No. 148. The value obtained for the uncorrected formation energy is -1.910 eV per atom.

a = 8.6529 Å, b = 8.6529 Å, c = 8.6529 Å
α = 107.51°, β = 107.51°, γ = 107.51°
Fractional positions:
1 Y 0.0000 0.0000 0.0000
2 Y 0.1822 0.3907 0.4687
3 Y 0.3907 0.4687 0.1822
4 Y 0.4687 0.1822 0.3907
5 Y 0.5313 0.8178 0.6093
6 Y 0.6093 0.5313 0.8178
7 Y 0.8178 0.6093 0.5313
8 B 0.5000 0.5000 0.5000
9 Cl 0.0308 0.3403 0.1139
10 Cl 0.1139 0.0308 0.3403
11 Cl 0.1863 0.7233 0.5770
12 Cl 0.2767 0.4230 0.8137
13 Cl 0.3403 0.1139 0.0308
14 Cl 0.4230 0.8137 0.2767
15 Cl 0.5770 0.1863 0.7233
16 Cl 0.6597 0.8861 0.9692
17 Cl 0.7233 0.5770 0.1863
18 Cl 0.8137 0.2767 0.4230
19 Cl 0.8861 0.9692 0.6597
20 Cl 0.9692 0.6597 0.8861

***

DFT (GGA-PBE) results for Y4BCl5 after structural relaxation.

Summary:
For the density of states at the Fermi level, the calculation gives 4.33 states/eV/cell. As for the space-group type: C2/m, No. 12. The value obtained for the uncorrected formation energy is -1.679 eV per atom.

a = 8.8543 Å, b = 8.8543 Å, c = 7.8769 Å
α = 103.09°, β = 103.09°, γ = 25.01°
Fractional positions:
1 Y 0.0009 0.0009 0.2829
2 Y 0.3528 0.3528 0.4171
3 Y 0.6472 0.6472 0.5829
4 Y 0.9991 0.9991 0.7171
5 B 0.5000 0.5000 0.5000
6 Cl 0.1651 0.1651 0.8349
7 Cl 0.1723 0.1723 0.3449
8 Cl 0.5000 0.5000 0.0000
9 Cl 0.8277 0.8277 0.6551
10 Cl 0.8349 0.8349 0.1651

***

DFT (GGA-PBE) results for YBCl3 after structural relaxation.

Summary:
For the density of states at the Fermi level, the calculation gives 5.08 states/eV/cell. The value obtained for the energy above the most stable polymorph in this dataset is 0 meV per atom. As for the space-group type: Pm-3m, No. 221. The value obtained for the uncorrected formation energy is -0.533 eV per atom.

a = 5.2932 Å, b = 5.2932 Å, c = 5.2932 Å
α = 90.00°, β = 90.00°, γ = 90.00°
Fractional positions:
1 Y 0.0000 0.0000 0.0000
2 B 0.5000 0.5000 0.5000
3 Cl 0.0000 0.0000 0.5000
4 Cl 0.0000 0.5000 0.0000
5 Cl 0.5000 0.0000 0.0000

***

DFT (GGA-PBE) results for ZnBCl2 after structural relaxation.

Summary:
For the density of states at the Fermi level, the calculation gives 2.03 states/eV/cell. The value obtained for the energy above the most stable polymorph in this dataset is 0 meV per atom. As for the space-group type: R-3m, No. 166. The value obtained for the uncorrected formation energy is 0.313 eV per atom.

a = 9.6897 Å, b = 9.6897 Å, c = 9.6897 Å
α = 19.49°, β = 19.49°, γ = 19.49°
Fractional positions:
1 Zn 0.0000 0.0000 0.0000
2 B 0.5000 0.5000 0.5000
3 Cl 0.4412 0.4412 0.4412
4 Cl 0.5588 0.5588 0.5588

***

DFT (GGA-PBE) results for Zn2BCl after structural relaxation.

Summary:
For the density of states at the Fermi level, the calculation gives 1.09 states/eV/cell. The value obtained for the energy above the most stable polymorph in this dataset is 0 meV per atom. As for the space-group type: I-42d, No. 122. The value obtained for the uncorrected formation energy is 0.269 eV per atom.

a = 6.2429 Å, b = 6.2429 Å, c = 6.2429 Å
α = 126.42°, β = 126.42°, γ = 79.20°
Fractional positions:
1 Zn 0.0501 0.6250 0.9251
2 Zn 0.3750 0.3001 0.4251
3 Zn 0.6999 0.1250 0.0749
4 Zn 0.8750 0.9499 0.5749
5 B 0.0000 0.0000 0.0000
6 B 0.7500 0.2500 0.5000
7 Cl 0.2500 0.7500 0.5000
8 Cl 0.5000 0.5000 0.0000